Computed, not measured: a geometry-optimized BiPb2Se4 structure at the PBE-GGA level of DFT.

Lattice parameters (Å, degrees): 4.2126 7.3889 13.8015 90.00 90.00 106.56
Fractional coordinates of all 14 atoms:
Bi 0.5991 0.1982 0.7500
Bi 0.4009 0.8018 0.2500
Se 0.2166 0.4332 0.6397
Se 0.2166 0.4332 0.8603
Se 0.7834 0.5668 0.3603
Se 0.7834 0.5668 0.1397
Se 0.5000 0.0000 0.0000
Se 0.5000 0.0000 0.5000
Se 0.0443 0.0887 0.2500
Se 0.9557 0.9113 0.7500
Pb 0.8640 0.7281 0.5590
Pb 0.1360 0.2719 0.0590
Pb 0.1360 0.2719 0.4410
Pb 0.8640 0.7281 0.9410

Formation energy without anion corrections in eV per atom: -0.33
Total magnetic moment in μB/f.u.: 0.00
Space group: No. 63